Below is crystalline NaCuSe at its relaxed geometry, with properties calculated at the GGA-PBE level.

a b c (Å): 10.4541 4.1016 6.5610
angles (deg): 90.00 103.16 90.00
Space group C2/m (No. 12)
Asymmetric unit:
Na (0.0997, 0.0000, 0.3379) x4
Cu (0.2114, 0.0000, 0.9026) x4
Se (0.1326, 0.5000, 0.7305) x4

* DFT total energy: -42.3 eV for the cell shown
* ΔE_f (raw): -0.556 eV/atom